An optimized crystal structure of NbCr2Se6, computed with GGA-PBE.

a b c (Å): 4.854 6.739 7.402
angles (deg): 69.53 70.86 68.89
Site moments in Bohr magnetons follow the coordinates.
Sites, in units of the cell vectors:
Nb  0.000  0.500  0.500  0.49
Cr  0.175  0.728  0.921  2.70
Cr  0.825  0.272  0.079  2.70
Se  0.744  0.657  0.855  -0.14
Se  0.256  0.343  0.145  -0.14
Se  0.959  0.858  0.223  -0.14
Se  0.368  0.681  0.583  -0.20
Se  0.041  0.142  0.777  -0.14
Se  0.632  0.319  0.417  -0.20

Values from the calculation:
Space group   C2/m, No. 12
Calculated volume   22.9 Å³/atom
Mass density   5.409 g/cm³
Relative energy among the computed polymorphs   0.235 eV per atom
Energy relative to the elements, uncorrected   -359 meV/atom